Li2AlGaMo2Os2 | the Open Quantum Materials Database | PBE | optimized geometry; space group = P-4m2 (115); total energy = -7.0963 eV per atom
1.0
4.288 0.000 0.000
0.000 4.288 0.000
0.000 0.000 6.064
Al Ga Li Mo Os
1 1 2 2 2
direct
0.000 0.000 0.000
0.500 0.500 0.500
0.500 0.000 0.251
0.000 0.500 0.749
0.500 0.500 0.000
0.000 0.000 0.500
0.000 0.500 0.248
0.500 0.000 0.752

***

Li4AlGa2Ni | the Open Quantum Materials Database | PBE | optimized geometry; space group = P-4m2 (115); total energy = -3.1689 eV per atom
1.0
4.256 0.000 0.000
0.000 4.256 0.000
0.000 0.000 6.098
Al Ga Li Ni
1 2 4 1
direct
0.500 0.500 0.500
0.500 0.000 0.228
0.000 0.500 0.772
0.500 0.500 0.000
0.000 0.500 0.232
0.000 0.000 0.500
0.500 0.000 0.768
0.000 0.000 0.000

***

Li4AlGaNi2 | the Open Quantum Materials Database | PBE | optimized geometry; space group = P-4m2 (115); total energy = -3.4601 eV per atom
1.0
-0.505 -1.202 -3.938
-3.034 -2.574 1.175
-3.934 4.273 -0.800
Al Ga Li Ni
1 1 4 2
direct
0.000 0.000 0.500
0.500 0.500 0.000
0.000 0.000 0.000
0.000 0.500 0.245
0.500 0.500 0.500
0.500 0.000 0.755
0.500 0.000 0.252
0.000 0.500 0.748

***

Li4Al2GaNi | the Open Quantum Materials Database | PBE | optimized geometry; space group = P-4m2 (115); total energy = -3.2441 eV per atom
1.0
4.257 0.000 0.000
0.000 4.257 0.000
0.000 0.000 6.126
Al Ga Li Ni
2 1 4 1
direct
0.000 0.500 0.224
0.500 0.000 0.776
0.000 0.000 0.500
0.000 0.000 0.000
0.500 0.000 0.242
0.500 0.500 0.500
0.000 0.500 0.758
0.500 0.500 0.000

***

Li2AlGaNi2Pd2 | the Open Quantum Materials Database | PBE | optimized geometry; space group = P-4m2 (115); total energy = -4.5526 eV per atom
1.0
4.150 0.000 0.000
0.000 4.150 0.000
0.000 0.000 5.872
Al Ga Li Ni Pd
1 1 2 2 2
direct
0.000 0.000 0.000
0.500 0.500 0.500
0.500 0.500 0.000
0.000 0.000 0.500
0.000 0.500 0.250
0.500 0.000 0.750
0.500 0.000 0.248
0.000 0.500 0.752

***

Li2AlGaNi2Pt2 | the Open Quantum Materials Database | PBE | optimized geometry; space group = P-4m2 (115); total energy = -4.8651 eV per atom
1.0
-3.760 1.576 -0.776
-1.060 -0.573 3.972
1.981 5.367 1.303
Al Ga Li Ni Pt
1 1 2 2 2
direct
0.000 0.000 0.000
0.500 0.500 0.500
0.500 0.500 0.000
0.000 0.000 0.500
0.000 0.500 0.249
0.500 0.000 0.751
0.500 0.000 0.246
0.000 0.500 0.754

***

Li2Sc2AlGaNi2 | the Open Quantum Materials Database | PBE | optimized geometry; space group = P-4m2 (115); total energy = -4.7600 eV per atom
1.0
-1.907 -2.186 3.234
2.458 -3.468 -0.894
4.290 2.034 3.905
Al Ga Li Ni Sc
1 1 2 2 2
direct
0.000 0.000 0.000
0.500 0.500 0.500
0.000 0.500 0.253
0.500 0.000 0.747
0.500 0.000 0.247
0.000 0.500 0.753
0.500 0.500 0.000
0.000 0.000 0.500

***

Li2AlGaPd2Pt2 | the Open Quantum Materials Database | PBE | optimized geometry; space group = P-4m2 (115); total energy = -4.9473 eV per atom
1.0
-0.387 -3.489 -2.434
-0.562 -2.381 3.502
-5.957 0.901 -0.344
Al Ga Li Pd Pt
1 1 2 2 2
direct
0.000 0.000 0.000
0.500 0.500 0.500
0.500 0.500 0.000
0.000 0.000 0.500
0.500 0.000 0.249
0.000 0.500 0.751
0.000 0.500 0.248
0.500 0.000 0.752